1.
The following is a PBE calculation of a relaxed structure of TaTl2Se, from Alexandria via LeMat-Bulk.

Values from the calculation:
Energy relative to the elements, uncorrected, kJ/mol of formula units: 254
Spin magnetization, μB/f.u.: 0.0
Excess energy over the best structure of this formula in the dataset, eV/atom: 0.7178

a = 4.1000 Å, b = 4.1000 Å, c = 11.7057 Å
α = 79.91°, β = 79.91°, γ = 90.00°
Last column: nearest neighbours and their distance in Å.
Atoms (fractional coordinates):
Ta (0.7500, 0.2500, 0.5000)  4 Se 2.90, 4 Tl 3.18
Tl (0.8750, 0.8794, 0.7500)  4 Tl 2.87-2.92, 2 Ta 3.18, 2 Se 3.19
Se (0.5000, 0.5000, 0.0000)  4 Ta 2.90, 4 Tl 3.19
Ta (0.0000, 0.0000, 0.0000)  4 Se 2.90, 4 Tl 3.18
Se (0.2500, 0.7500, 0.5000)  4 Ta 2.90, 4 Tl 3.19
Tl (0.6294, 0.1250, 0.2500)  4 Tl 2.87-2.92, 2 Ta 3.18, 2 Se 3.19
Tl (0.3750, 0.3706, 0.7500)  4 Tl 2.87-2.92, 2 Ta 3.18, 2 Se 3.19
Tl (0.1206, 0.6250, 0.2500)  4 Tl 2.87-2.92, 2 Ta 3.18, 2 Se 3.19


2.
The following is a PBE calculation of a relaxed structure of PdPbC3, from Alexandria via LeMat-Bulk.

Values from the calculation:
Calculated formation energy, eV/atom: 2.48
Spin magnetization, μB/f.u.: 0.0
Excess energy over the best structure of this formula in the dataset, eV/atom: 0.0000

a = 4.1542 Å, b = 4.1542 Å, c = 4.1542 Å
α = 90.00°, β = 90.00°, γ = 90.00°
Last column: nearest neighbours and their distance in Å.
Atoms (fractional coordinates):
C (0.0000, 0.5000, 0.0000)  2 Pd 2.08
C (0.0000, 0.0000, 0.5000)  2 Pd 2.08
C (0.5000, 0.0000, 0.0000)  2 Pd 2.08
Pb (0.5000, 0.5000, 0.5000)  12 C 2.94
Pd (0.0000, 0.0000, 0.0000)  6 C 2.08


3.
The following is a PBE calculation of a relaxed structure of Hf2GaP, from Alexandria via LeMat-Bulk.

Values from the calculation:
Calculated formation energy, eV/atom: -0.79
Spin magnetization, μB/f.u.: 0.0
Excess energy over the best structure of this formula in the dataset, eV/atom: 0.0000

a = 3.5748 Å, b = 3.5748 Å, c = 7.1746 Å
α = 90.03°, β = 104.42°, γ = 119.94°
Last column: nearest neighbours and their distance in Å.
Atoms (fractional coordinates):
Hf (0.4795, 0.7397, 0.2191)  3 P 2.55-2.56, 3 Ga 2.83
Hf (0.5206, 0.2603, 0.7809)  3 P 2.55-2.56, 3 Ga 2.83
Ga (0.0000, 0.5000, 0.5000)  6 Hf 2.83
P (0.0000, 0.0000, 0.0000)  6 Hf 2.55-2.56


Q: What is the spin magnetization in the second record?
A: 0.0 μB/f.u.


Q: Which value of excess energy over the best structure of this formula in the dataset does entry 1 give?
A: 0.7178 eV/atom